# Pr3Mn4PbO12 (SCAN, PBEsol geometry)
data_Pr3Mn4PbO12
_cell_length_a 5.436
_cell_length_b 7.699
_cell_length_c 5.471
_cell_angle_alpha 90.00
_cell_angle_beta 90.25
_cell_angle_gamma 90.00
_space_group_name_H-M_alt 'P 1 m 1'
_space_group_IT_number 6
_space_group_name_Hall 'P -2y'
loop_
_atom_site_label
_atom_site_type_symbol
_atom_site_fract_x
_atom_site_fract_y
_atom_site_fract_z
_atom_site_occupancy
Pr1 Pr 0.000 0.000 0.000 1
Pr2 Pr 0.049 0.500 0.008 1
Pr3 Pr 0.554 0.500 0.500 1
Mn1 Mn 0.029 0.250 0.508 1
Mn2 Mn 0.525 0.250 0.008 1
Pb1 Pb 0.516 0.000 0.515 1
O1 O 0.023 0.000 0.439 1
O2 O 0.023 0.500 0.570 1
O3 O 0.243 0.222 0.792 1
O4 O 0.296 0.293 0.276 1
O5 O 0.515 0.500 0.939 1
O6 O 0.542 0.000 0.059 1
O7 O 0.762 0.227 0.745 1
O8 O 0.798 0.291 0.238 1
# * energy: -20.40 eV per atom
# * volume: 11.45 Å³ per atom
# * DOS(E_F): 0.10 states/eV/atom